Record 1
CuOs2Au: relaxed, PBE.

Summary:
- DOS(E_F): 0.843 states/eV per atom
- Distance to the lowest polymorph of the same formula: 475 meV/atom
- Formation energy from the elements: 729 meV per atom

a b c (Å): 2.927 2.927 6.789
angles (deg): 90.00 90.00 90.00
Positions (direct):
Cu: 0.000 0.000 0.000
Os: 0.500 0.500 0.215
Os: 0.500 0.500 0.785
Au: 0.000 0.000 0.500

---

Record 2
CuOs2Au: relaxed, PBE.

Summary:
- DOS(E_F): 0.616 states/eV per atom
- Distance to the lowest polymorph of the same formula: 169 meV/atom
- Formation energy from the elements: 423 meV per atom

a b c (Å): 4.689 4.689 4.868
angles (deg): 98.45 98.45 34.19
Positions (direct):
Cu: 0.000 0.000 0.000
Os: 0.249 0.249 0.711
Os: 0.507 0.507 0.534
Au: 0.753 0.753 0.212

---

Record 3
CuOsAu: relaxed, PBE.

Summary:
- DOS(E_F): 1.293 states/eV per atom
- Distance to the lowest polymorph of the same formula: 230 meV/atom
- Formation energy from the elements: 609 meV per atom

a b c (Å): 4.994 4.994 4.994
angles (deg): 149.16 134.81 55.71
Positions (direct):
Cu: 0.000 0.000 0.000
Os: 0.646 0.646 0.000
Au: 0.328 0.328 0.000

---

Record 4
CuOsAu2: relaxed, PBE.

Summary:
- DOS(E_F): 1.254 states/eV per atom
- Distance to the lowest polymorph of the same formula: 165 meV/atom
- Formation energy from the elements: 467 meV per atom

a b c (Å): 2.733 3.869 5.987
angles (deg): 90.00 90.00 90.00
Positions (direct):
Cu: 0.000 0.000 0.000
Os: 0.500 0.500 0.208
Au: 0.000 0.000 0.461
Au: 0.500 0.500 0.746

---

Record 5
CuOs2Au: relaxed, PBE.

Summary:
- DOS(E_F): 0.984 states/eV per atom
- Distance to the lowest polymorph of the same formula: 248 meV/atom
- Formation energy from the elements: 501 meV per atom

a b c (Å): 2.716 2.716 9.393
angles (deg): 90.00 90.00 118.36
Positions (direct):
Cu: 0.000 0.000 0.000
Os: 0.000 0.000 0.474
Os: 0.500 0.500 0.240
Au: 0.500 0.500 0.753

---

Record 6
CuOsAu: relaxed, PBE.

Summary:
- DOS(E_F): 1.033 states/eV per atom
- Distance to the lowest polymorph of the same formula: 87 meV/atom
- Formation energy from the elements: 465 meV per atom

a b c (Å): 6.390 6.390 6.390
angles (deg): 155.57 155.57 34.82
Positions (direct):
Cu: 0.000 0.000 0.000
Os: 0.651 0.651 0.000
Au: 0.332 0.332 0.000